(1)
Computed, not measured: a geometry-optimized AcNd2Ho structure at the PBE-GGA level of DFT.

Computed properties:
* DOS(E_F): 1.600 states/eV per atom
* E_tot: -4.39 eV/atom
* calculated volume: 37.09 Å³ per atom
* magnetic moment: 0.00 μB per atom

Cell lengths 13.0925, 13.0925, 13.0925 Å; angles 15.98, 15.98, 15.98 degrees
Element x y z (fractional)
1 Ac 0.0000 0.0000 0.0000
2 Nd 0.0925 0.0925 0.0925
3 Nd 0.9075 0.9075 0.9075
4 Ho 0.5000 0.5000 0.5000

(2)
Computed, not measured: a geometry-optimized Pr2SmTe3 structure at the PBE-GGA level of DFT.

Computed properties:
* DOS(E_F): 0.511 states/eV per atom
* E_tot: -5.37 eV/atom
* calculated volume: 32.29 Å³ per atom
* magnetic moment: 0.00 μB per atom

Cell lengths 7.7894, 7.7894, 7.7894 Å; angles 146.25, 131.88, 60.07 degrees
Element x y z (fractional)
1 Pr 0.1711 0.1711 0.0000
2 Pr 0.8289 0.8289 0.0000
3 Sm 0.5000 0.5000 0.0000
4 Te 0.0000 0.5000 0.5000
5 Te 0.3384 0.8384 0.5000
6 Te 0.6616 0.1616 0.5000

(3)
Computed, not measured: a geometry-optimized Pm2Ho3Er2 structure at the PBE-GGA level of DFT.

Computed properties:
* DOS(E_F): 1.285 states/eV per atom
* E_tot: -4.39 eV/atom
* calculated volume: 32.65 Å³ per atom
* magnetic moment: 0.00 μB per atom

Cell lengths 8.4049, 8.4049, 8.4049 Å; angles 109.47, 109.47, 109.47 degrees
Element x y z (fractional)
1 Pm 0.0000 0.8106 0.5000
2 Pm 0.5000 0.0000 0.8106
3 Pm 0.6894 0.6894 0.6894
4 Pm 0.8106 0.5000 0.0000
5 Ho 0.1915 0.7500 0.9415
6 Ho 0.2500 0.5585 0.3085
7 Ho 0.3085 0.2500 0.5585
8 Ho 0.5585 0.3085 0.2500
9 Ho 0.7500 0.9415 0.1915
10 Ho 0.9415 0.1915 0.7500
11 Er 0.0000 0.4111 0.5000
12 Er 0.0889 0.0889 0.0889
13 Er 0.4111 0.5000 0.0000
14 Er 0.5000 0.0000 0.4111

(4)
Computed, not measured: a geometry-optimized AlCo2Ni2 structure at the PBE-GGA level of DFT.

Computed properties:
* DOS(E_F): 1.173 states/eV per atom
* E_tot: -5.85 eV/atom
* calculated volume: 12.04 Å³ per atom
* magnetic moment: 0.85 μB per atom

Cell lengths 6.7892, 6.7892, 2.6132 Å; angles 90.00, 90.00, 90.00 degrees
Element x y z (fractional)
1 Al 0.0000 0.0000 0.0000
2 Al 0.5000 0.5000 0.0000
3 Co 0.1214 0.3786 0.0000
4 Co 0.3786 0.8786 0.0000
5 Co 0.6214 0.1214 0.0000
6 Co 0.8786 0.6214 0.0000
7 Ni 0.1751 0.6751 0.5000
8 Ni 0.3249 0.1751 0.5000
9 Ni 0.6751 0.8249 0.5000
10 Ni 0.8249 0.3249 0.5000

(5)
Computed, not measured: a geometry-optimized BaNd2NbN4 structure at the PBE-GGA level of DFT.

Computed properties:
* DOS(E_F): 0.344 states/eV per atom
* E_tot: -7.95 eV/atom
* calculated volume: 18.25 Å³ per atom
* magnetic moment: 0.00 μB per atom

Cell lengths 6.7120, 6.7120, 12.5304 Å; angles 90.00, 90.00, 148.86 degrees
Element x y z (fractional)
1 Ba 0.0887 0.9113 0.7500
2 Ba 0.9113 0.0887 0.2500
3 Nd 0.3714 0.6286 0.5354
4 Nd 0.3714 0.6286 0.9646
5 Nd 0.6286 0.3714 0.0354
6 Nd 0.6286 0.3714 0.4646
7 Nb 0.1743 0.8257 0.2500
8 Nb 0.8257 0.1743 0.7500
9 N 0.0000 0.0000 0.0000
10 N 0.0000 0.0000 0.5000
11 N 0.2580 0.7420 0.1224
12 N 0.2580 0.7420 0.3776
13 N 0.4066 0.5934 0.7500
14 N 0.5934 0.4066 0.2500
15 N 0.7420 0.2580 0.6224
16 N 0.7420 0.2580 0.8776

(6)
Computed, not measured: a geometry-optimized Ac2HgPdN structure at the PBE-GGA level of DFT.

Computed properties:
* DOS(E_F): 0.716 states/eV per atom
* E_tot: -5.10 eV/atom
* calculated volume: 25.84 Å³ per atom
* magnetic moment: 0.00 μB per atom

Cell lengths 7.7563, 4.0009, 9.0959 Å; angles 90.00, 113.73, 90.00 degrees
Element x y z (fractional)
1 Ac 0.2078 0.2500 0.3809
2 Ac 0.2135 0.2500 0.9865
3 Ac 0.7865 0.7500 0.0135
4 Ac 0.7922 0.7500 0.6191
5 Hg 0.2781 0.7500 0.7133
6 Hg 0.7219 0.2500 0.2867
7 Pd 0.4538 0.7500 0.2614
8 Pd 0.5462 0.2500 0.7386
9 N 0.1342 0.7500 0.1754
10 N 0.8658 0.2500 0.8246

(7)
Computed, not measured: a geometry-optimized Mn4CuPt7 structure at the PBE-GGA level of DFT.

Computed properties:
* DOS(E_F): 0.854 states/eV per atom
* E_tot: -6.94 eV/atom
* calculated volume: 16.58 Å³ per atom
* magnetic moment: 1.40 μB per atom

Cell lengths 5.7706, 5.7706, 9.2452 Å; angles 116.67, 116.67, 47.89 degrees
Element x y z (fractional)
1 Mn 0.0815 0.0815 0.2730
2 Mn 0.2463 0.2463 0.8269
3 Mn 0.7537 0.7537 0.1731
4 Mn 0.9185 0.9185 0.7270
5 Cu 0.5000 0.5000 0.5000
6 Pt 0.0000 0.0000 0.5000
7 Pt 0.1377 0.1377 0.0313
8 Pt 0.2928 0.2928 0.5829
9 Pt 0.4270 0.4270 0.1772
10 Pt 0.5730 0.5730 0.8228
11 Pt 0.7072 0.7072 0.4171
12 Pt 0.8623 0.8623 0.9687

(8)
Computed, not measured: a geometry-optimized LiB4C structure at the PBE-GGA level of DFT.

Computed properties:
* DOS(E_F): 0.113 states/eV per atom
* E_tot: -5.92 eV/atom
* calculated volume: 7.22 Å³ per atom
* magnetic moment: 0.00 μB per atom

Cell lengths 7.5258, 7.5258, 3.2937 Å; angles 97.95, 97.95, 147.64 degrees
Element x y z (fractional)
1 Li 0.1331 0.8669 0.7500
2 Li 0.8669 0.1331 0.2500
3 B 0.2207 0.6563 0.9619
4 B 0.2304 0.2889 0.0099
5 B 0.2889 0.2304 0.5099
6 B 0.3437 0.7793 0.5381
7 B 0.6563 0.2207 0.4619
8 B 0.7111 0.7696 0.4901
9 B 0.7696 0.7111 0.9901
10 B 0.7793 0.3437 0.0381
11 C 0.3762 0.6238 0.2500
12 C 0.6238 0.3762 0.7500